Record 1
GGA-PBE LaPr2Sm5Ho, relaxed; space-group type = I4/mcm, No. 140; energy relative to the elements = 0.26 eV per atom; calculated density = 7.07 Mg/m³; magnetization = 0.001 μB per cell
1.0
-4.439 4.439 7.968
4.439 -4.439 7.968
4.439 4.439 -7.968
La Pr Sm Ho
2 4 10 2
Direct
0.250 0.250 0.000
0.750 0.750 0.000
0.118 0.618 0.737
0.382 0.118 0.500
0.618 0.882 0.500
0.882 0.382 0.263
0.000 0.000 0.000
0.071 0.152 0.500
0.152 0.652 0.081
0.348 0.429 0.500
0.429 0.929 0.081
0.500 0.500 0.000
0.571 0.071 0.919
0.652 0.571 0.500
0.848 0.348 0.919
0.929 0.848 0.500
0.250 0.750 0.500
0.750 0.250 0.500

***

Record 2
GGA-PBE CePmBr, relaxed; space-group type = Immm, No. 71; formation energy without anion corrections = -1.3 eV per formula unit; calculated density = 6.83 Mg/m³; magnetization = 1.751 μB per cell
1.0
-1.714 2.955 8.755
1.714 -2.955 8.755
1.714 2.955 -8.755
Ce Pm Br
2 2 2
Direct
0.224 0.000 0.224
0.776 0.000 0.776
0.309 0.809 0.500
0.691 0.191 0.500
0.164 0.164 0.000
0.836 0.836 0.000

***

Record 3
GGA-PBE Pr2DyPd2, relaxed; space-group type = P4/mbm, No. 127; energy relative to the elements = -0.65 eV per atom; calculated density = 8.38 Mg/m³; magnetization = 0.000 μB per cell
1.0
7.977 0.000 0.000
0.000 7.977 0.000
0.000 0.000 4.095
Pr Dy Pd
4 2 4
Direct
0.169 0.331 0.000
0.331 0.831 0.000
0.669 0.169 0.000
0.831 0.669 0.000
0.000 0.000 0.500
0.500 0.500 0.500
0.130 0.630 0.500
0.370 0.130 0.500
0.630 0.870 0.500
0.870 0.370 0.500

***

Record 4
GGA-PBE Sm4MgTe5, relaxed; space-group type = R-3m, No. 166; formation energy without anion corrections = -12.6 eV per formula unit; calculated density = 6.90 Mg/m³; magnetization = 0.000 μB per cell
1.0
2.177 1.257 18.519
-2.177 1.257 18.519
0.000 -2.513 18.519
Sm Mg Te
4 1 5
Direct
0.099 0.099 0.099
0.298 0.298 0.298
0.702 0.702 0.702
0.901 0.901 0.901
0.500 0.500 0.500
0.000 0.000 0.000
0.197 0.197 0.197
0.401 0.401 0.401
0.599 0.599 0.599
0.803 0.803 0.803

***

Record 5
GGA-PBE Sr4IrCl, relaxed; space-group type = F-43m, No. 216; formation energy without anion corrections = 3.6 eV per formula unit; calculated density = 4.30 Mg/m³; magnetization = 0.000 μB per cell
1.0
0.000 4.816 4.816
4.816 0.000 4.816
4.816 4.816 0.000
Sr Ir Cl
4 1 1
Direct
0.376 0.376 0.376
0.376 0.376 0.871
0.376 0.871 0.376
0.871 0.376 0.376
0.750 0.750 0.750
0.000 0.000 0.000

***

Record 6
GGA-PBE TlInMo2, relaxed; space-group type = I4/mmm, No. 139; energy relative to the elements = 0.76 eV per atom; calculated density = 11.25 Mg/m³; magnetization = 0.002 μB per cell
1.0
-2.053 2.053 4.477
2.053 -2.053 4.477
2.053 2.053 -4.477
Tl In Mo
1 1 2
Direct
0.000 0.000 0.000
0.500 0.500 0.000
0.250 0.750 0.500
0.750 0.250 0.500

***

Record 7
GGA-PBE PmPrZn4, relaxed; space-group type = F-43m, No. 216; energy relative to the elements = -0.32 eV per atom; calculated density = 7.39 Mg/m³; magnetization = 0.000 μB per cell
1.0
0.000 3.948 3.948
3.948 0.000 3.948
3.948 3.948 0.000
Pm Pr Zn
1 1 4
Direct
0.000 0.000 0.000
0.250 0.250 0.250
0.124 0.625 0.625
0.625 0.124 0.625
0.625 0.625 0.124
0.625 0.625 0.625

***

Record 8
GGA-PBE PmDy2InRh4, relaxed; space-group type = R-3m, No. 166; energy relative to the elements = -0.75 eV per atom; calculated density = 10.53 Mg/m³; magnetization = 0.000 μB per cell
1.0
2.406 1.389 7.834
-2.406 1.389 7.834
0.000 -2.778 7.834
Pm Dy In Rh
1 2 1 4
Direct
0.000 0.000 0.000
0.244 0.244 0.244
0.756 0.756 0.756
0.500 0.500 0.500
0.125 0.125 0.125
0.378 0.378 0.378
0.622 0.622 0.622
0.875 0.875 0.875

***

Record 9
GGA-PBE CeErHg5, relaxed; space-group type = Cmmm, No. 65; energy relative to the elements = -0.21 eV per atom; calculated density = 11.45 Mg/m³; magnetization = 0.791 μB per cell
1.0
3.186 -4.326 0.000
3.186 4.326 0.000
0.000 0.000 6.896
Ce Er Hg
1 1 5
Direct
0.000 0.000 0.000
0.500 0.500 0.500
0.000 0.000 0.500
0.000 0.500 0.245
0.000 0.500 0.755
0.500 0.000 0.245
0.500 0.000 0.755

***

Record 10
GGA-PBE CaTa2Tc, relaxed; space-group type = I-42d, No. 122; energy relative to the elements = 0.75 eV per atom; calculated density = 9.56 Mg/m³; magnetization = 0.000 μB per cell
1.0
-3.857 3.857 2.918
3.857 -3.857 2.918
3.857 3.857 -2.918
Ca Ta Tc
2 4 2
Direct
0.000 0.000 0.000
0.750 0.250 0.500
0.185 0.625 0.060
0.375 0.435 0.560
0.565 0.125 0.940
0.875 0.815 0.440
0.250 0.750 0.500
0.500 0.500 0.000

***

Record 11
GGA-PBE YTlRe, relaxed; space-group type = I4mm, No. 107; energy relative to the elements = 0.43 eV per atom; calculated density = 12.20 Mg/m³; magnetization = 0.017 μB per cell
1.0
-1.802 1.802 5.028
1.802 -1.802 5.028
1.802 1.802 -5.028
Y Tl Re
1 1 1
Direct
0.000 0.000 0.000
0.694 0.694 0.000
0.339 0.339 0.000

***

Record 12
GGA-PBE K3UPa2N6, relaxed; space-group type = C2/m, No. 12; formation energy without anion corrections = -13.7 eV per formula unit; calculated density = 6.95 Mg/m³; magnetization = 0.988 μB per cell
1.0
3.110 -5.388 0.000
3.110 5.388 0.000
-2.074 0.000 6.427
K U Pa N
3 1 2 6
Direct
0.000 0.000 0.000
0.335 0.665 0.000
0.665 0.335 0.000
0.500 0.500 0.500
0.167 0.833 0.500
0.833 0.167 0.500
0.118 0.447 0.341
0.224 0.224 0.658
0.447 0.118 0.341
0.553 0.882 0.659
0.776 0.776 0.342
0.882 0.553 0.659

***

What is the magnetization in the tenth record? 0.000 μB per cell

***

The highest calculated density belongs to which entry? YTlRe

***

Which of these has the highest calculated density? YTlRe